Record 1
Below is MgCoGe2 after structural relaxation, with properties calculated at the GGA-PBE level.

```
data_MgCoGe2
_cell_length_a 3.0950
_cell_length_b 3.0950
_cell_length_c 23.4513
_cell_angle_alpha 90.00
_cell_angle_beta 90.00
_cell_angle_gamma 120.00
_space_group_name_H-M_alt 'R -3 m'
_space_group_IT_number 166
_space_group_name_Hall '-R 3 2"'
loop_
_atom_site_label
_atom_site_fract_x
_atom_site_fract_y
_atom_site_fract_z
_atom_site_occupancy
Mg1 0.0000 0.0000 0.0000 1
Co1 0.0000 0.0000 0.5000 1
Ge1 0.0000 0.0000 0.2370 1
```

Crystal system: trigonal
Formation enthalpy at 0 K, meV per atom: -44
D(E_F), states/eV/cell: 8.912
Density, kg/m3: 5851
V, Å³ per atom: 16.2
VASP energy, eV/atom: -4.53


Record 2
Below is MgCoGe after structural relaxation, with properties calculated at the GGA-PBE level.

```
data_MgCoGe
_cell_length_a 4.004
_cell_length_b 6.806
_cell_length_c 6.844
_cell_angle_alpha 90.00
_cell_angle_beta 90.00
_cell_angle_gamma 90.00
_space_group_name_H-M_alt 'I m m 2'
_space_group_IT_number 44
loop_
_space_group_symop_operation_xyz
'x,y,z'
'-x,-y,z'
'-x,y,z'
'x,-y,z'
'x+1/2,y+1/2,z+1/2'
'-x+1/2,-y+1/2,z+1/2'
'-x+1/2,y+1/2,z+1/2'
'x+1/2,-y+1/2,z+1/2'
loop_
_atom_site_label
_atom_site_fract_x
_atom_site_fract_y
_atom_site_fract_z
_atom_site_occupancy
Mg1 0.000 0.000 0.000 1
Mg2 0.000 0.500 0.096 1
Co1 0.000 0.178 0.373 1
Ge1 0.000 0.279 0.703 1
```

Crystal system: orthorhombic
Formation enthalpy at 0 K, meV per atom: -158
D(E_F), states/eV/cell: 7.806
Density, kg/m3: 5551
V, Å³ per atom: 15.5
VASP energy, eV/atom: -4.60


Record 3
Below is Mg3Co2Ge3 after structural relaxation, with properties calculated at the GGA-PBE level.

```
data_Mg3Co2Ge3
_cell_length_a 7.494
_cell_length_b 13.625
_cell_length_c 5.223
_cell_angle_alpha 90.00
_cell_angle_beta 90.00
_cell_angle_gamma 90.00
_space_group_name_H-M_alt 'P n m a'
_space_group_IT_number 62
loop_
_space_group_symop_operation_xyz
'x,y,z'
'-x,-y,-z'
'-x+1/2,-y,z+1/2'
'x+1/2,y,-z+1/2'
'x+1/2,-y+1/2,-z+1/2'
'-x+1/2,y+1/2,z+1/2'
'-x,y+1/2,-z'
'x,-y+1/2,z'
loop_
_atom_site_label
_atom_site_fract_x
_atom_site_fract_y
_atom_site_fract_z
_atom_site_occupancy
Mg1 0.046 0.115 0.102 1
Mg2 0.205 0.250 0.620 1
Co1 0.090 0.597 0.410 1
Ge1 0.143 0.750 0.610 1
Ge2 0.197 0.042 0.629 1
```

Crystal system: orthorhombic
Formation enthalpy at 0 K, meV per atom: -244
D(E_F), states/eV/cell: 13.647
Density, kg/m3: 5091
V, Å³ per atom: 16.7
VASP energy, eV/atom: -4.35


Record 4
Below is Mg2Co3Ge4 after structural relaxation, with properties calculated at the GGA-PBE level.

```
data_Mg2Co3Ge4
_cell_length_a 5.213
_cell_length_b 8.874
_cell_length_c 11.929
_cell_angle_alpha 90.00
_cell_angle_beta 90.00
_cell_angle_gamma 90.00
_space_group_name_H-M_alt 'F m m m'
_space_group_IT_number 69
_space_group_name_Hall '-F 2 2'
loop_
_atom_site_label
_atom_site_fract_x
_atom_site_fract_y
_atom_site_fract_z
_atom_site_occupancy
Mg1 0.000 0.000 0.116 1
Co1 0.000 0.000 0.500 1
Co2 0.250 0.250 0.000 1
Ge1 0.000 0.169 0.344 1
```

Crystal system: orthorhombic
Formation enthalpy at 0 K, meV per atom: -154
D(E_F), states/eV/cell: 30.628
Density, kg/m3: 6210
V, Å³ per atom: 15.3
VASP energy, eV/atom: -4.93


Record 5
Below is MgCoGe after structural relaxation, with properties calculated at the GGA-PBE level.

```
data_MgCoGe
_cell_length_a 5.211
_cell_length_b 6.535
_cell_length_c 5.162
_cell_angle_alpha 90.00
_cell_angle_beta 90.00
_cell_angle_gamma 90.00
_space_group_name_H-M_alt 'I m a 2'
_space_group_IT_number 46
loop_
_space_group_symop_operation_xyz
'x,y,z'
'-x,-y,z'
'-x+1/2,y,z'
'x+1/2,-y,z'
'x+1/2,y+1/2,z+1/2'
'-x+1/2,-y+1/2,z+1/2'
'-x,y+1/2,z+1/2'
'x,-y+1/2,z+1/2'
loop_
_atom_site_label
_atom_site_fract_x
_atom_site_fract_y
_atom_site_fract_z
_atom_site_occupancy
Mg1 0.250 0.140 0.000 1
Co1 0.000 0.000 0.503 1
Ge1 0.250 0.749 0.752 1
```

Crystal system: orthorhombic
Formation enthalpy at 0 K, meV per atom: -175
D(E_F), states/eV/cell: 7.137
Density, kg/m3: 5891
V, Å³ per atom: 14.6
VASP energy, eV/atom: -4.61


Record 6
Below is MgCo3Ge after structural relaxation, with properties calculated at the GGA-PBE level.

```
data_MgCo3Ge
_cell_length_a 4.326
_cell_length_b 4.326
_cell_length_c 4.326
_cell_angle_alpha 90.00
_cell_angle_beta 90.00
_cell_angle_gamma 90.00
_space_group_name_H-M_alt 'P m -3 m'
_space_group_IT_number 221
_space_group_name_Hall '-P 4 2 3'
loop_
_atom_site_label
_atom_site_fract_x
_atom_site_fract_y
_atom_site_fract_z
_atom_site_occupancy
Mg1 0.000 0.000 0.000 1
Co1 0.000 0.000 0.500 1
Ge1 0.500 0.500 0.500 1
```

Crystal system: cubic
Formation enthalpy at 0 K, meV per atom: 1397
D(E_F), states/eV/cell: 11.502
Density, kg/m3: 5614
V, Å³ per atom: 16.2
VASP energy, eV/atom: -4.11


Record 7
Below is MgCo2Ge3 after structural relaxation, with properties calculated at the GGA-PBE level.

```
data_MgCo2Ge3
_cell_length_a 2.839
_cell_length_b 11.065
_cell_length_c 5.942
_cell_angle_alpha 90.00
_cell_angle_beta 90.00
_cell_angle_gamma 90.00
_space_group_name_H-M_alt 'A m m 2'
_space_group_IT_number 38
loop_
_space_group_symop_operation_xyz
'x,y,z'
'-x,-y,z'
'-x,y,z'
'x,-y,z'
'x,y+1/2,z+1/2'
'-x,-y+1/2,z+1/2'
'-x,y+1/2,z+1/2'
'x,-y+1/2,z+1/2'
loop_
_atom_site_label
_atom_site_fract_x
_atom_site_fract_y
_atom_site_fract_z
_atom_site_occupancy
Mg1 0.000 0.000 0.000 1
Co1 0.000 0.141 0.373 1
Ge1 0.500 0.000 0.590 1
Ge2 0.500 0.231 0.093 1
```

Crystal system: orthorhombic
Formation enthalpy at 0 K, meV per atom: -33
D(E_F), states/eV/cell: 8.530
Density, kg/m3: 6407
V, Å³ per atom: 15.6
VASP energy, eV/atom: -4.98


Record 8
Below is MgCoGe2 after structural relaxation, with properties calculated at the GGA-PBE level.

```
data_MgCoGe2
_cell_length_a 4.0009
_cell_length_b 4.0009
_cell_length_c 14.2406
_cell_angle_alpha 90.00
_cell_angle_beta 90.00
_cell_angle_gamma 120.00
_space_group_name_H-M_alt 'R 3 m'
_space_group_IT_number 160
_space_group_name_Hall 'R 3 -2"'
loop_
_atom_site_label
_atom_site_fract_x
_atom_site_fract_y
_atom_site_fract_z
_atom_site_occupancy
Mg1 0.0000 0.0000 0.0000 1
Co1 0.0000 0.0000 0.8140 1
Ge1 0.0000 0.0000 0.2170 1
Ge2 0.0000 0.0000 0.4377 1
```

Crystal system: trigonal
Formation enthalpy at 0 K, meV per atom: -154
D(E_F), states/eV/cell: 4.447
Density, kg/m3: 5767
V, Å³ per atom: 16.5
VASP energy, eV/atom: -4.64


Record 9
Below is MgCoGe after structural relaxation, with properties calculated at the GGA-PBE level.

```
data_MgCoGe
_cell_length_a 3.898
_cell_length_b 3.898
_cell_length_c 6.152
_cell_angle_alpha 90.00
_cell_angle_beta 90.00
_cell_angle_gamma 90.00
_space_group_name_H-M_alt 'P 4/n m m'
_space_group_IT_number 129
loop_
_space_group_symop_operation_xyz
'x,y,z'
'-x,-y,-z'
'-y+1/2,x,z'
'y+1/2,-x,-z'
'-x+1/2,-y+1/2,z'
'x+1/2,y+1/2,-z'
'y,-x+1/2,z'
'-y,x+1/2,-z'
'x+1/2,-y,-z'
'-x+1/2,y,z'
'-y,-x,-z'
'y,x,z'
'-x,y+1/2,-z'
'x,-y+1/2,z'
'y+1/2,x+1/2,-z'
'-y+1/2,-x+1/2,z'
loop_
_atom_site_label
_atom_site_fract_x
_atom_site_fract_y
_atom_site_fract_z
_atom_site_occupancy
Mg1 0.250 0.250 0.180 1
Co1 0.250 0.750 0.500 1
Ge1 0.250 0.250 0.725 1
```

Crystal system: tetragonal
Formation enthalpy at 0 K, meV per atom: -297
D(E_F), states/eV/cell: 4.327
Density, kg/m3: 5538
V, Å³ per atom: 15.6
VASP energy, eV/atom: -4.74


Record 10
Below is MgCoGe after structural relaxation, with properties calculated at the GGA-PBE level.

```
data_MgCoGe
_cell_length_a 4.323
_cell_length_b 4.433
_cell_length_c 5.421
_cell_angle_alpha 110.80
_cell_angle_beta 91.55
_cell_angle_gamma 100.52
_space_group_name_H-M_alt 'P -1'
_space_group_IT_number 2
loop_
_space_group_symop_operation_xyz
'x,y,z'
'-x,-y,-z'
loop_
_atom_site_label
_atom_site_fract_x
_atom_site_fract_y
_atom_site_fract_z
_atom_site_occupancy
Mg1 0.234 0.398 0.122 1
Co1 0.199 0.317 0.575 1
Ge1 0.330 0.875 0.662 1
```

Crystal system: triclinic
Formation enthalpy at 0 K, meV per atom: -161
D(E_F), states/eV/cell: 3.166
Density, kg/m3: 5449
V, Å³ per atom: 15.8
VASP energy, eV/atom: -4.60


Record 11
Below is MgCo2Ge3 after structural relaxation, with properties calculated at the GGA-PBE level.

```
data_MgCo2Ge3
_cell_length_a 8.674
_cell_length_b 7.905
_cell_length_c 5.143
_cell_angle_alpha 90.00
_cell_angle_beta 90.00
_cell_angle_gamma 90.00
_space_group_name_H-M_alt 'C m c m'
_space_group_IT_number 63
_space_group_name_Hall '-C 2c 2'
loop_
_atom_site_label
_atom_site_fract_x
_atom_site_fract_y
_atom_site_fract_z
_atom_site_occupancy
Mg1 0.000 0.085 0.250 1
Co1 0.226 0.500 0.000 1
Ge1 0.000 0.428 0.250 1
Ge2 0.162 0.235 0.750 1
```

Crystal system: orthorhombic
Formation enthalpy at 0 K, meV per atom: -146
D(E_F), states/eV/cell: 14.156
Density, kg/m3: 6782
V, Å³ per atom: 14.7
VASP energy, eV/atom: -5.09


Record 12
Below is NaMgCoGe2 after structural relaxation, with properties calculated at the GGA-PBE level.

```
data_NaMgCoGe2
_cell_length_a 4.577
_cell_length_b 4.577
_cell_length_c 4.829
_cell_angle_alpha 90.00
_cell_angle_beta 90.00
_cell_angle_gamma 90.00
_space_group_name_H-M_alt 'P 4/m m m'
_space_group_IT_number 123
_space_group_name_Hall '-P 4 2'
loop_
_atom_site_label
_atom_site_fract_x
_atom_site_fract_y
_atom_site_fract_z
_atom_site_occupancy
Na1 0.000 0.000 0.000 1
Mg1 0.500 0.500 0.000 1
Co1 0.500 0.500 0.500 1
Ge1 0.000 0.500 0.500 1
```

Crystal system: tetragonal
Formation enthalpy at 0 K, meV per atom: -20
D(E_F), states/eV/cell: 4.410
Density, kg/m3: 4128
V, Å³ per atom: 20.2
VASP energy, eV/atom: -3.87